# PmY6Ho8

A relaxed PmY6Ho8 crystal (GGA-PBE, Alexandria).

abc: 8.6088 8.6088 8.6088
angles: 63.32 63.32 63.32
Fractional positions:
Pm 0.0000 0.0000 0.0000
Y 0.1079 0.5386 0.2310
Y 0.2310 0.1079 0.5386
Y 0.4614 0.7690 0.8921
Y 0.5386 0.2310 0.1079
Y 0.7690 0.8921 0.4614
Y 0.8921 0.4614 0.7690
Ho 0.1106 0.7196 0.7447
Ho 0.2553 0.8894 0.2804
Ho 0.2804 0.2553 0.8894
Ho 0.4239 0.4239 0.4239
Ho 0.5761 0.5761 0.5761
Ho 0.7196 0.7447 0.1106
Ho 0.7447 0.1106 0.7196
Ho 0.8894 0.2804 0.2553

Computed properties:
DOS at the Fermi energy: 1.55 states/eV per atom
Crystal system: trigonal
Mass density: 6.85 g/cm³
SG: R-3
Magnetization: 0.00 μB/atom
Electronic total energy: -0.3835 Ry per atom